! AcLaTbZn | Alexandria via LeMat-Bulk | GGA-PBE | relaxed; values from VASP
! E   -3.87 eV per atom
! Formation energy from the elements   -0.1325 eV/atom
! Space-group type   No. 99
&SYSTEM
  ibrav = 0, nat = 4, ntyp = 4
/
ATOMIC_SPECIES
Ac 227.00 Ac.upf
La 138.91 La.upf
Tb 158.93 Tb.upf
Zn 65.41 Zn.upf
CELL_PARAMETERS angstrom
3.7461 0.0000 0.0000
0.0000 3.7461 0.0000
0.0000 0.0000 9.0670
ATOMIC_POSITIONS crystal
Ac 0.0000 0.0000 0.0000
La 0.5000 0.5000 0.6869
Tb 0.5000 0.5000 0.2947
Zn 0.0000 0.0000 0.4710